No. 1
Entry from the Alexandria database: a relaxed TbTmTl2Se4 crystal (PBE-GGA).

Properties
Crystal system: monoclinic
E_form (uncorrected), eV/atom: -1.381
Uncorrected energy, hartree per atom: -0.17835
Space-group type: P2/m, No. 10
Magnetization, μB/atom: 0.000

abc: 4.170 7.223 8.140
angles: 107.18 90.00 90.00
Fractional coordinates of all 8 atoms:
Tl  0.500  0.000  0.500
Tl  0.000  0.500  0.500
Tm  0.000  0.000  0.000
Se  0.000  0.738  0.204
Se  0.500  0.770  0.798
Se  0.500  0.230  0.202
Se  0.000  0.262  0.796
Tb  0.500  0.500  0.000


No. 2
Entry from the Alexandria database: a relaxed NbInNi2 crystal (PBE-GGA).

Properties
Crystal system: tetragonal
Uncorrected energy, hartree per atom: -0.22871
E_form, kJ/mol of formula units: -50
Space-group type: P4/mmm, No. 123
Magnetization, μB/atom: 0.000

abc: 3.192 3.192 6.087
angles: 90.00 90.00 90.00
Fractional coordinates of all 4 atoms:
Ni  0.000  0.000  0.282
Ni  0.000  0.000  0.718
Nb  0.500  0.500  0.500
In  0.500  0.500  0.000


No. 3
Entry from the Alexandria database: a relaxed Tm7Tc2Te2 crystal (PBE-GGA).

Properties
Crystal system: orthorhombic
E_form (uncorrected), eV/atom: -0.554
Uncorrected energy, hartree per atom: -0.21518
Space-group type: Imm2, No. 44
Magnetization, μB/atom: 0.048

abc: 3.977 9.255 9.255
angles: 59.46 77.59 77.59
Site moments in Bohr magnetons follow the coordinates.
Fractional coordinates of all 11 atoms:
Tm  0.183  0.711  0.922  0.01
Tm  0.500  0.025  0.975  0.17
Tm  0.364  0.741  0.530  0.01
Tm  0.817  0.078  0.289  0.01
Tm  0.636  0.470  0.259  0.01
Tm  0.152  0.115  0.580  0.03
Tm  0.848  0.420  0.885  0.03
Te  0.500  0.359  0.641  0.01
Te  0.000  0.759  0.241  0.00
Tc  0.265  0.323  0.147  0.02
Tc  0.735  0.853  0.677  0.02